A | PBE AlRePt2, relaxed; total magnetic moment = 0.00 μB/cell; V = 60.33 Å³/cell; theoretical density = 16.61 g cm⁻³
1.0
1.410 0.814 8.756
-1.410 0.814 8.756
0.000 -1.629 8.756
Al Re Pt
1 1 2
Direct
0.000 0.000 0.000
0.748 0.748 0.748
0.256 0.256 0.256
0.497 0.497 0.497

=====

B | PBE AlRePt2, relaxed; total magnetic moment = 0.00 μB/cell; V = 59.90 Å³/cell; theoretical density = 16.73 g cm⁻³
1.0
2.750 0.000 0.000
0.000 4.468 0.000
0.000 0.000 4.875
Al Re Pt
1 1 2
Direct
0.000 0.000 0.000
0.000 0.500 0.352
0.500 0.000 0.502
0.500 0.500 0.857

=====

Stability, lowest: A

=====

A | PBE AlRePt2, relaxed; total magnetic moment = 0.00 μB/cell; V = 59.94 Å³/cell; theoretical density = 16.71 g cm⁻³
1.0
-1.945 1.945 3.961
1.945 -1.945 3.961
1.945 1.945 -3.961
Al Re Pt
1 1 2
Direct
0.000 0.000 0.000
0.500 0.500 0.000
0.250 0.750 0.500
0.750 0.250 0.500

=====

B | PBE AlRePt2, relaxed; total magnetic moment = 0.00 μB/cell; V = 60.50 Å³/cell; theoretical density = 16.56 g cm⁻³
1.0
0.000 3.116 3.116
3.116 0.000 3.116
3.116 3.116 0.000
Al Re Pt
1 1 2
Direct
0.000 0.000 0.000
0.750 0.750 0.750
0.250 0.250 0.250
0.500 0.500 0.500

=====

C | PBE AlRePt2, relaxed; total magnetic moment = 0.23 μB/cell; V = 59.83 Å³/cell; theoretical density = 16.75 g cm⁻³
1.0
2.731 -3.976 0.000
2.731 3.976 0.000
0.000 0.000 2.755
Al Re Pt
1 1 2
Direct
0.000 0.000 0.000
0.500 0.500 0.000
0.000 0.500 0.500
0.500 0.000 0.500

=====

Stability, lowest: B

=====

A | PBE AlRe2Pt, relaxed; total magnetic moment = 0.00 μB/cell; V = 59.77 Å³/cell; theoretical density = 16.51 g cm⁻³
1.0
1.388 0.802 8.951
-1.388 0.802 8.951
0.000 -1.603 8.951
Al Re Pt
1 2 1
Direct
0.000 0.000 0.000
0.251 0.251 0.251
0.749 0.749 0.749
0.500 0.500 0.500

=====

B | PBE AlRe2Pt, relaxed; total magnetic moment = 0.00 μB/cell; V = 59.82 Å³/cell; theoretical density = 16.50 g cm⁻³
1.0
0.000 3.104 3.104
3.104 0.000 3.104
3.104 3.104 0.000
Al Re Pt
1 2 1
Direct
0.000 0.000 0.000
0.250 0.250 0.250
0.750 0.750 0.750
0.500 0.500 0.500

=====

C | PBE AlRe2Pt, relaxed; total magnetic moment = 0.00 μB/cell; V = 59.83 Å³/cell; theoretical density = 16.50 g cm⁻³
1.0
2.720 0.000 0.000
0.000 4.215 0.000
-0.642 0.000 5.218
Al Re Pt
1 2 1
Direct
0.000 0.000 0.000
0.427 0.500 0.234
0.573 0.500 0.766
0.000 0.000 0.500

=====

Stability, lowest: B

=====

A | PBE AlRe2Pt, relaxed; total magnetic moment = 0.00 μB/cell; V = 59.69 Å³/cell; theoretical density = 16.54 g cm⁻³
1.0
4.675 -1.389 0.000
4.675 1.389 0.000
-0.812 0.000 4.596
Al Re Pt
1 2 1
Direct
0.000 0.000 0.000
0.250 0.250 0.754
0.750 0.750 0.246
0.500 0.500 0.500

=====

B | PBE AlRe2Pt, relaxed; total magnetic moment = 0.00 μB/cell; V = 60.19 Å³/cell; theoretical density = 16.40 g cm⁻³
1.0
4.676 0.000 0.000
0.000 4.676 0.000
0.000 0.000 2.753
Al Re Pt
1 2 1
Direct
0.000 0.000 0.000
0.000 0.500 0.500
0.500 0.000 0.500
0.500 0.500 0.000

=====

C | PBE AlRe2Pt, relaxed; total magnetic moment = 0.00 μB/cell; V = 59.71 Å³/cell; theoretical density = 16.53 g cm⁻³
1.0
2.866 0.000 0.000
0.000 2.866 0.000
0.000 0.000 7.269
Al Re Pt
1 2 1
Direct
0.000 0.000 0.000
0.000 0.000 0.520
0.500 0.500 0.754
0.500 0.500 0.234

=====

Stability, lowest: B

=====

A | PBE AlRe2Pt, relaxed; total magnetic moment = 0.00 μB/cell; V = 59.87 Å³/cell; theoretical density = 16.49 g cm⁻³
1.0
2.612 -4.148 0.000
2.612 4.148 0.000
0.000 0.000 2.763
Al Re Pt
1 2 1
Direct
0.000 0.000 0.000
0.000 0.500 0.500
0.500 0.000 0.500
0.500 0.500 0.000

=====

B | PBE AlRe2Pt, relaxed; total magnetic moment = 0.00 μB/cell; V = 59.51 Å³/cell; theoretical density = 16.59 g cm⁻³
1.0
-1.897 1.897 4.136
1.897 -1.897 4.136
1.897 1.897 -4.136
Al Re Pt
1 2 1
Direct
0.000 0.000 0.000
0.250 0.750 0.500
0.750 0.250 0.500
0.500 0.500 0.000

=====

C | PBE AlRe2Pt, relaxed; total magnetic moment = 0.00 μB/cell; V = 59.47 Å³/cell; theoretical density = 16.60 g cm⁻³
1.0
2.720 0.000 0.000
0.000 2.720 0.000
0.000 0.000 8.035
Al Re Pt
1 2 1
Direct
0.000 0.000 0.000
0.500 0.500 0.247
0.500 0.500 0.753
0.000 0.000 0.500

=====

D | PBE AlRe2Pt, relaxed; total magnetic moment = 0.00 μB/cell; V = 59.81 Å³/cell; theoretical density = 16.50 g cm⁻³
1.0
1.402 0.810 8.778
-1.402 0.810 8.778
0.000 -1.619 8.778
Al Re Pt
1 2 1
Direct
0.000 0.000 0.000
0.496 0.496 0.496
0.750 0.750 0.750
0.254 0.254 0.254

=====

Stability, lowest: C

=====

A | PBE AlRe2Pt, relaxed; total magnetic moment = 0.00 μB/cell; V = 59.00 Å³/cell; theoretical density = 16.73 g cm⁻³
1.0
-1.563 2.213 4.264
1.563 -2.213 4.264
1.563 2.213 -4.264
Al Re Pt
1 2 1
Direct
0.000 0.000 0.000
0.501 0.501 0.000
0.757 0.257 0.500
0.228 0.728 0.500

=====

B | PBE AlRe2Pt, relaxed; total magnetic moment = 0.14 μB/cell; V = 59.56 Å³/cell; theoretical density = 16.57 g cm⁻³
1.0
-1.992 1.992 3.753
1.992 -1.992 3.753
1.992 1.992 -3.753
Al Re Pt
1 2 1
Direct
0.000 0.000 0.000
0.500 0.500 0.000
0.750 0.250 0.500
0.250 0.750 0.500

=====

C | PBE AlRe2Pt, relaxed; total magnetic moment = 0.00 μB/cell; V = 59.92 Å³/cell; theoretical density = 16.48 g cm⁻³
1.0
3.264 0.000 0.000
0.000 4.117 0.000
0.000 0.000 4.458
Al Re Pt
1 2 1
Direct
0.000 0.000 0.000
0.000 0.500 0.500
0.500 0.000 0.500
0.500 0.500 0.000

=====

D | PBE AlRe2Pt, relaxed; total magnetic moment = 0.00 μB/cell; V = 60.18 Å³/cell; theoretical density = 16.40 g cm⁻³
1.0
2.827 0.000 0.000
0.000 4.099 0.000
0.000 0.000 5.193
Al Re Pt
1 2 1
Direct
0.000 0.000 0.000
0.500 0.500 0.235
0.500 0.500 0.765
0.000 0.000 0.500

=====

Stability, lowest: D

=====

A | PBE AlRe2Pt, relaxed; total magnetic moment = 0.00 μB/cell; V = 181.77 Å³/cell; theoretical density = 10.86 g cm⁻³
1.0
-2.947 2.947 5.231
2.947 -2.947 5.231
2.947 2.947 -5.231
Al Re Pt
2 4 2
Direct
0.000 0.000 0.000
0.750 0.250 0.500
0.138 0.625 0.013
0.375 0.388 0.513
0.612 0.125 0.987
0.875 0.862 0.487
0.250 0.750 0.500
0.500 0.500 0.000

=====

B | PBE AlRe2Pt, relaxed; total magnetic moment = 0.00 μB/cell; V = 60.07 Å³/cell; theoretical density = 16.43 g cm⁻³
1.0
4.493 -1.385 0.000
4.493 1.385 0.000
-0.666 0.000 4.827
Al Re Pt
1 2 1
Direct
0.000 0.000 0.000
0.504 0.504 0.490
0.755 0.755 0.298
0.253 0.253 0.804

=====

Stability, lowest: A

=====

A | PBE AlRePt3, relaxed; total magnetic moment = 0.00 μB/cell; V = 113.49 Å³/cell; theoretical density = 11.68 g cm⁻³
1.0
4.842 0.000 0.000
0.000 4.842 0.000
0.000 0.000 4.842
Al Re Pt
1 1 3
Direct
0.000 0.000 0.000
0.500 0.500 0.500
0.000 0.500 0.500
0.500 0.000 0.500
0.500 0.500 0.000

=====

B | PBE AlRePt3, relaxed; total magnetic moment = 3.81 μB/cell; V = 92.19 Å³/cell; theoretical density = 14.38 g cm⁻³
1.0
4.517 0.000 0.000
0.000 4.517 0.000
0.000 0.000 4.517
Al Re Pt
1 1 3
Direct
0.000 0.000 0.000
0.500 0.500 0.500
0.000 0.000 0.500
0.000 0.500 0.000
0.500 0.000 0.000

=====

Stability, lowest: A